Entry 1:
First-principles (PBE-GGA) data for crystalline HoScNiRu at its relaxed geometry, as listed in the Alexandria database.

Cell lengths 4.6466, 4.6466, 4.6466 Å; angles 60.00, 60.00, 60.00 degrees
Last column: nearest neighbours and their distance in Å.
Atoms (fractional coordinates):
1 Ho 0.0000 0.0000 0.0000  4 Ni 2.85, 4 Ru 2.85
2 Sc 0.5000 0.5000 0.5000  4 Ni 2.85, 4 Ru 2.85
3 Ni 0.7500 0.7500 0.7500  4 Sc 2.85, 4 Ho 2.85
4 Ru 0.2500 0.2500 0.2500  4 Ho 2.85, 4 Sc 2.85

Results
Calculated total energy   -6.9657 eV per atom
Formation enthalpy at 0 K   -0.47 eV/atom
Size of the total moment   0.00 μB/f.u.
Crystal system   cubic

Entry 2:
First-principles (PBE-GGA) data for crystalline ScMo2Se at its relaxed geometry, as listed in the Alexandria database.

Cell lengths 3.0428, 3.0428, 8.3151 Å; angles 90.00, 90.00, 112.13 degrees
Last column: nearest neighbours and their distance in Å.
Atoms (fractional coordinates):
1 Sc 0.0000 0.0000 0.0000  2 Se 2.63, 2 Mo 2.83
2 Mo 0.0000 0.0000 0.5020  2 Mo 2.56, 2 Se 2.73
3 Mo 0.5000 0.5000 0.2724  2 Mo 2.56, 2 Sc 2.83
4 Se 0.5000 0.5000 0.7589  2 Sc 2.63, 2 Mo 2.73

Results
Formation energy without anion corrections   -0.01 eV/atom
Calculated total energy   -7.8834 eV per atom
Size of the total moment   0.00 μB/f.u.
Crystal system   orthorhombic